No. 1
A plane-wave DFT calculation with PBE was carried out for a relaxed AlFeSn2 crystal.

abc: 9.026 9.026 6.787
angles: 48.32 48.32 90.00
Each line ends with the local moment (μB).
Atoms (fractional coordinates):
Fe  0.750  0.250  0.500  0.56
Sn  0.375  0.224  0.750  0.01
Sn  0.776  0.125  0.250  0.01
Al  0.500  0.500  0.000  -0.01
Sn  0.974  0.625  0.250  0.02
Al  0.250  0.750  0.500  -0.01
Fe  0.000  0.000  0.000  0.56
Sn  0.875  0.026  0.750  0.01

Results
crystal system = tetragonal
VASP energy = -4.8425 eV/atom
formation energy from the elements = 210 meV per atom

---

No. 2
A plane-wave DFT calculation with PBE was carried out for a relaxed AlFe3Sn crystal.

abc: 4.421 4.421 4.421
angles: 90.00 90.00 90.00
Each line ends with the local moment (μB).
Atoms (fractional coordinates):
Sn  0.500  0.500  0.500  -0.07
Fe  0.000  0.000  0.500  2.44
Al  0.000  0.000  0.000  -0.10
Fe  0.500  0.000  0.000  2.18
Fe  0.000  0.500  0.000  2.32

Results
polymorph energy (0 for the lowest one) = 0.000 eV/atom
crystal system = cubic
VASP energy = -5.8146 eV/atom
formation energy from the elements = 812 meV per atom